i:
Crystalline SbCO2 at its relaxed geometry. Source: the Alexandria database, functional GGA-PBE.

Output
As for the space group: No. 227. Its density of states at the Fermi level is 2.06 states/eV per cell.

Cell: 5.1193 5.1193 5.1202 Å, 60.01 60.01 90.00°
Sites, in units of the cell vectors:
Sb 0.0000 0.0000 0.0000
O 0.3751 0.6250 0.2500
Sb 0.7500 0.2500 0.5000
O 0.8750 0.6249 0.7500
C 0.2500 0.7500 0.5000
C 0.5000 0.5000 0.0000
O 0.3750 0.6251 0.7500
O 0.3749 0.1250 0.2500

***

ii:
Crystalline SbCO2 at its relaxed geometry. Source: the Alexandria database, functional GGA-PBE.

Output
As for the space group: No. 225. Its density of states at the Fermi level is 2.04 states/eV per cell.

Cell: 3.9610 3.9610 3.9610 Å, 60.00 60.00 60.00°
Sites, in units of the cell vectors:
O 0.7500 0.7500 0.7500
O 0.2500 0.2500 0.2500
Sb 0.5000 0.5000 0.5000
C 0.0000 0.0000 0.0000

***

It turns out i is the most stable, with the second structure 537 meV per atom higher.